This record from Alexandria via LeMat-Bulk describes a relaxed structure of LiCu2C. The functional is PBEsol.

Results
DFT formation energy, eV per atom: 0.709

The structure in CIF format:
```
data_LiCu2C
_chemical_formula_sum 'Li4 Cu8 C4'
_space_group_name_H-M_alt 'F m -3 m'
_space_group_IT_number 225
_space_group_name_Hall '-F 4 2 3'
_cell_length_a 5.2368
_cell_length_b 5.2368
_cell_length_c 5.2368
_cell_angle_alpha 90.00
_cell_angle_beta 90.00
_cell_angle_gamma 90.00
loop_
_atom_site_label
_atom_site_fract_x
_atom_site_fract_y
_atom_site_fract_z
Li1 0.0000 0.0000 0.0000
Cu1 0.2500 0.2500 0.2500
C1 0.0000 0.0000 0.5000
```